No. 1
First-principles (GGA-PBE) data for a geometry-optimized La4NiSb structure, as listed in Alexandria via LeMat-Bulk.

Cell: 6.3446 6.3446 6.3446 Å, 60.00 60.00 60.00°
With the nearest neighbours (Å) after each atom.
Positions (direct):
La 0.3761 0.3761 0.3761  6 La 3.15-3.20
La 0.3761 0.3761 0.8718  6 La 3.15-3.20
La 0.3761 0.8718 0.3761  6 La 3.15-3.20
La 0.8718 0.3761 0.3761  6 La 3.15-3.20
Ni 0.0000 0.0000 0.0000  12 La 3.72, 4 Sb 3.89
Sb 0.7500 0.7500 0.7500  12 La 3.72, 4 Ni 3.89

Crystal system = cubic
Space-group type = No. 216
Magnetization = 0.0 μB per cell
E_form (uncorrected) = 0.298 eV per atom
Energy above the most stable polymorph in this dataset = 801 meV per atom
Total energy = -27.83 eV per cell

No. 2
First-principles (GGA-PBE) data for a geometry-optimized La2NiSb structure, as listed in Alexandria via LeMat-Bulk.

Cell: 4.4565 4.4565 6.3993 Å, 90.00 90.00 90.00°
With the nearest neighbours (Å) after each atom.
Positions (direct):
La 0.0000 0.0000 0.0000  1 Ni 2.66
La 0.5000 0.5000 0.4212  4 Ni 3.15, 2 Sb 3.17-3.23
Ni 0.0000 0.0000 0.4163  1 La 2.66
Sb 0.5000 0.5000 0.9167  6 La 3.17-3.23

Crystal system = tetragonal
Space-group type = No. 99
Magnetization = 0.0 μB per cell
E_form (uncorrected) = -0.516 eV per atom
Total energy = -21.82 eV per cell

No. 3
First-principles (GGA-PBE) data for a geometry-optimized LaNi2Sb structure, as listed in Alexandria via LeMat-Bulk.

Cell: 3.3796 3.3796 6.7586 Å, 90.00 90.00 90.00°
With the nearest neighbours (Å) after each atom.
Positions (direct):
La 0.0000 0.0000 0.0000  8 Ni 3.14, 2 Sb 3.38, 4 La 3.38
Ni 0.5000 0.5000 0.3021  1 Ni 2.67, 4 Sb 2.74
Ni 0.5000 0.5000 0.6979  1 Ni 2.67, 4 Sb 2.74
Sb 0.0000 0.0000 0.5000  8 Ni 2.74

Crystal system = tetragonal
Space-group type = No. 123
Magnetization = 0.0 μB per cell
E_form (uncorrected) = -0.153 eV per atom
Total energy = -21.22 eV per cell

No. 4
First-principles (GGA-PBE) data for a geometry-optimized LaNiSb2 structure, as listed in Alexandria via LeMat-Bulk.

Cell: 3.4917 3.6106 7.3597 Å, 90.00 90.00 90.00°
With the nearest neighbours (Å) after each atom.
Positions (direct):
La 0.0000 0.0000 0.0000  8 Sb 3.37, 4 La 3.49-3.61, 2 Ni 3.68
Ni 0.0000 0.0000 0.5000  8 Sb 2.89
Sb 0.5000 0.5000 0.3056  1 Sb 2.86, 4 Ni 2.89
Sb 0.5000 0.5000 0.6944  1 Sb 2.86, 4 Ni 2.89

Crystal system = orthorhombic
Space-group type = No. 47
Magnetization = 0.0 μB per cell
E_form (uncorrected) = -0.248 eV per atom
Total energy = -19.94 eV per cell

No. 5
First-principles (GGA-PBE) data for a geometry-optimized La3Ni3Sb4 structure, as listed in Alexandria via LeMat-Bulk.

Cell: 8.4695 8.4695 8.4695 Å, 109.47 109.47 109.47°
With the nearest neighbours (Å) after each atom.
Positions (direct):
La 0.1250 0.7500 0.8750  4 Ni 2.99, 4 Sb 3.30
La 0.2500 0.6250 0.3750  4 Ni 2.99, 4 Sb 3.30
La 0.3750 0.2500 0.6250  4 Ni 2.99, 4 Sb 3.30
La 0.6250 0.3750 0.2500  4 Ni 2.99, 4 Sb 3.30
La 0.7500 0.8750 0.1250  4 Ni 2.99, 4 Sb 3.30
La 0.8750 0.1250 0.7500  4 Ni 2.99, 4 Sb 3.30
Ni 0.1250 0.8750 0.2500  4 Sb 2.70, 4 La 2.99
Ni 0.2500 0.1250 0.8750  4 Sb 2.70, 4 La 2.99
Ni 0.3750 0.6250 0.7500  4 Sb 2.70, 4 La 2.99
Ni 0.6250 0.7500 0.3750  4 Sb 2.70, 4 La 2.99
Ni 0.7500 0.3750 0.6250  4 Sb 2.70, 4 La 2.99
Ni 0.8750 0.2500 0.1250  4 Sb 2.70, 4 La 2.99
Sb 0.0000 0.3493 0.5000  3 Ni 2.70
Sb 0.0000 0.8493 0.5000  3 Ni 2.70
Sb 0.1507 0.1507 0.1507  3 Ni 2.70
Sb 0.3493 0.5000 0.0000  3 Ni 2.70
Sb 0.5000 0.0000 0.3493  3 Ni 2.70
Sb 0.5000 0.0000 0.8493  3 Ni 2.70
Sb 0.6507 0.6507 0.6507  3 Ni 2.70
Sb 0.8493 0.5000 0.0000  3 Ni 2.70

Crystal system = cubic
Space-group type = No. 220
Magnetization = 0.0 μB per cell
E_form (uncorrected) = -0.847 eV per atom
Total energy = -114.17 eV per cell

No. 6
First-principles (GGA-PBE) data for a geometry-optimized LaNiSb2 structure, as listed in Alexandria via LeMat-Bulk.

Cell: 4.6109 4.1547 5.5326 Å, 90.00 104.86 90.00°
With the nearest neighbours (Å) after each atom.
Positions (direct):
La 0.0000 0.0000 0.0000  2 Ni 3.11, 4 Sb 3.28
Ni 0.5000 0.0000 0.5000  4 Sb 2.57
Sb 0.3612 0.5000 0.7213  2 Ni 2.57
Sb 0.6388 0.5000 0.2787  2 Ni 2.57

Crystal system = monoclinic
Space-group type = No. 10
Magnetization = 0.0 μB per cell
E_form (uncorrected) = -0.565 eV per atom
Total energy = -21.21 eV per cell

No. 7
First-principles (GGA-PBE) data for a geometry-optimized La2Ni2Sb structure, as listed in Alexandria via LeMat-Bulk.

Cell: 7.4059 7.4059 4.1011 Å, 90.00 90.00 90.00°
With the nearest neighbours (Å) after each atom.
Positions (direct):
La 0.1825 0.3175 0.0000  6 Ni 2.93-3.06
La 0.3175 0.8175 0.0000  6 Ni 2.93-3.06
La 0.6825 0.1825 0.0000  6 Ni 2.93-3.06
La 0.8175 0.6825 0.0000  6 Ni 2.93-3.06
Ni 0.1176 0.6176 0.5000  1 Ni 2.46
Ni 0.3824 0.1176 0.5000  1 Ni 2.46
Ni 0.6176 0.8824 0.5000  1 Ni 2.46
Ni 0.8824 0.3824 0.5000  1 Ni 2.46
Sb 0.0000 0.0000 0.5000  4 Ni 2.96
Sb 0.5000 0.5000 0.5000  4 Ni 2.96

Crystal system = tetragonal
Space-group type = No. 127
Magnetization = 0.0 μB per cell
E_form (uncorrected) = -0.636 eV per atom
Energy above the most stable polymorph in this dataset = 0 meV per atom
Total energy = -57.44 eV per cell

No. 8
First-principles (GGA-PBE) data for a geometry-optimized La2NiSb structure, as listed in Alexandria via LeMat-Bulk.

Cell: 6.6461 6.6461 6.6461 Å, 103.97 103.97 121.15°
With the nearest neighbours (Å) after each atom.
Positions (direct):
La 0.0673 0.6250 0.9423  2 Ni 2.71
La 0.3750 0.3173 0.4423  2 Ni 2.71
La 0.6827 0.1250 0.0577  2 Ni 2.71
La 0.8750 0.9327 0.5577  2 Ni 2.71
Ni 0.0000 0.0000 0.0000  4 La 2.71
Ni 0.7500 0.2500 0.5000  4 La 2.71
Sb 0.2500 0.7500 0.5000  2 Ni 3.27, 8 La 3.35-3.56
Sb 0.5000 0.5000 0.0000  2 Ni 3.27, 8 La 3.35-3.56

Crystal system = tetragonal
Space-group type = No. 122
Magnetization = 0.0 μB per cell
E_form (uncorrected) = -0.461 eV per atom
Total energy = -43.21 eV per cell

> The lowest total energy belongs to which entry?

La3Ni3Sb4

> total energy of number 6 (LaNiSb2)?

-21.21 eV per cell